[1]
# MgFe2Au PBE relaxed
# Mass density   9.45 Mg/m³
# Final energy   -21.73 eV per formula unit
data_MgFe2Au
_cell_length_a 3.756
_cell_length_b 3.756
_cell_length_c 4.150
_cell_angle_alpha 90.00
_cell_angle_beta 90.00
_cell_angle_gamma 90.00
_symmetry_space_group_name_H-M 'P 4/m m m'
_symmetry_Int_Tables_number 123
_symmetry_space_group_name_Hall '-P 4 2'
loop_
_atom_site_label
_atom_site_fract_x
_atom_site_fract_y
_atom_site_fract_z
Mg1 0.000 0.000 0.000
Fe1 0.000 0.500 0.500
Au1 0.500 0.500 0.000

***

[2]
# Mg2FeAuN PBE relaxed
# Mass density   7.49 Mg/m³
# Final energy   -25.27 eV per formula unit
# ΔE_f (raw)   -39.0 kJ per mole of atoms
data_Mg2FeAuN
_cell_length_a 4.420
_cell_length_b 4.420
_cell_length_c 3.582
_cell_angle_alpha 90.00
_cell_angle_beta 90.00
_cell_angle_gamma 90.00
_symmetry_space_group_name_H-M 'P 4/m m m'
_symmetry_Int_Tables_number 123
_symmetry_space_group_name_Hall '-P 4 2'
loop_
_atom_site_label
_atom_site_fract_x
_atom_site_fract_y
_atom_site_fract_z
Mg1 0.000 0.500 0.000
Fe1 0.000 0.000 0.500
Au1 0.500 0.500 0.500
N1 0.000 0.000 0.000

***

[3]
# MgFe2AuN PBE relaxed
# Mass density   9.00 Mg/m³
# Final energy   -31.15 eV per formula unit
# ΔE_f (raw)   -19.8 kJ per mole of atoms
data_MgFe2AuN
_cell_length_a 3.856
_cell_length_b 3.856
_cell_length_c 4.305
_cell_angle_alpha 90.00
_cell_angle_beta 90.00
_cell_angle_gamma 90.00
_symmetry_space_group_name_H-M 'P 4/m m m'
_symmetry_Int_Tables_number 123
_symmetry_space_group_name_Hall '-P 4 2'
loop_
_atom_site_label
_atom_site_fract_x
_atom_site_fract_y
_atom_site_fract_z
Mg1 0.000 0.000 0.000
Fe1 0.000 0.500 0.500
Au1 0.500 0.500 0.000
N1 0.000 0.000 0.500

***

[4]
# MgFeNi2Au PBE relaxed
# Mass density   7.87 Mg/m³
# Final energy   -18.78 eV per formula unit
data_MgFeNi2Au
_cell_length_a 4.305
_cell_length_b 4.305
_cell_length_c 4.490
_cell_angle_alpha 90.00
_cell_angle_beta 90.00
_cell_angle_gamma 90.00
_symmetry_space_group_name_H-M 'P 4/m m m'
_symmetry_Int_Tables_number 123
_symmetry_space_group_name_Hall '-P 4 2'
loop_
_atom_site_label
_atom_site_fract_x
_atom_site_fract_y
_atom_site_fract_z
Mg1 0.000 0.000 0.000
Fe1 0.000 0.000 0.500
Ni1 0.000 0.500 0.000
Au1 0.500 0.500 0.500

***

What did the third record say?
# MgFe2AuN PBE relaxed
# Mass density   9.00 Mg/m³
# Final energy   -31.15 eV per formula unit
# ΔE_f (raw)   -19.8 kJ per mole of atoms
data_MgFe2AuN
_cell_length_a 3.856
_cell_length_b 3.856
_cell_length_c 4.305
_cell_angle_alpha 90.00
_cell_angle_beta 90.00
_cell_angle_gamma 90.00
_symmetry_space_group_name_H-M 'P 4/m m m'
_symmetry_Int_Tables_number 123
_symmetry_space_group_name_Hall '-P 4 2'
loop_
_atom_site_label
_atom_site_fract_x
_atom_site_fract_y
_atom_site_fract_z
Mg1 0.000 0.000 0.000
Fe1 0.000 0.500 0.500
Au1 0.500 0.500 0.000
N1 0.000 0.000 0.500